A relaxed NdErTlGa crystal. Source: Alexandria via LeMat-Bulk, functional PBE-GGA.

Summary:
Calculated formation energy in eV per atom: -0.42
Volume in Å³/cell: 418.6
Density of states at the Fermi level in states/eV per atom: 0.458
Magnetic moment in μB/f.u.: 0.00

Cell lengths 7.481, 7.481, 7.481 Å; angles 90.00, 90.00, 90.00 degrees
Space group F-43m (No. 216)
Asymmetric unit:
Nd  0.000  0.000  0.000 (multiplicity 4)
Er  0.000  0.000  0.500 (multiplicity 4)
Tl  0.250  0.250  0.250 (multiplicity 4)
Ga  0.250  0.250  0.750 (multiplicity 4)

A relaxed NdHo2ErTm2 crystal. Source: Alexandria via LeMat-Bulk, functional PBE-GGA.

Summary:
Calculated formation energy in eV per atom: 0.08
Volume in Å³/cell: 373.3
Density of states at the Fermi level in states/eV per atom: 1.556
Magnetic moment in μB/f.u.: 0.00

Cell lengths 6.882, 9.720, 5.580 Å; angles 90.00, 90.00, 90.00 degrees
Space group Pnnm (No. 58)
Asymmetric unit:
Nd  0.000  0.000  0.000 (multiplicity 2)
Ho  0.248  0.333  0.000 (multiplicity 4)
Er  0.000  0.500  0.500 (multiplicity 2)
Tm  0.249  0.667  0.000 (multiplicity 4)

Q: Which value of density of states at the Fermi level does entry 2 give?
A: 1.556 states/eV per atom

Repeat the second record exactly.
A relaxed NdHo2ErTm2 crystal. Source: Alexandria via LeMat-Bulk, functional PBE-GGA.

Summary:
Calculated formation energy in eV per atom: 0.08
Volume in Å³/cell: 373.3
Density of states at the Fermi level in states/eV per atom: 1.556
Magnetic moment in μB/f.u.: 0.00

Cell lengths 6.882, 9.720, 5.580 Å; angles 90.00, 90.00, 90.00 degrees
Space group Pnnm (No. 58)
Asymmetric unit:
Nd  0.000  0.000  0.000 (multiplicity 2)
Ho  0.248  0.333  0.000 (multiplicity 4)
Er  0.000  0.500  0.500 (multiplicity 2)
Tm  0.249  0.667  0.000 (multiplicity 4)